Record 1
Entry from the Alexandria database: an optimized crystal structure of Pm3Dy6Y2Mg (PBE).

Output
energy	-4.67	eV/atom
formation energy	0.36	eV/f.u.

a = 6.163 Å, b = 10.685 Å, c = 11.753 Å
α = 90.00°, β = 100.16°, γ = 90.00°
Space group C2/m (No. 12)
Symmetry-distinct sites (fractional):
Pm 0.000 0.000 0.000 [2 per cell]
Pm 0.000 0.334 0.000 [4 per cell]
Dy 0.247 0.334 0.746 [8 per cell]
Dy 0.249 0.000 0.747 [4 per cell]
Y 0.000 0.166 0.500 [4 per cell]
Mg 0.000 0.500 0.500 [2 per cell]

Record 2
Entry from the Alexandria database: an optimized crystal structure of Ta3MnCr (PBE).

Output
energy	-9.70	eV/atom
offset from the most stable computed form	0	meV per atom
formation energy	5.87	eV/f.u.

a = 4.535 Å, b = 4.535 Å, c = 4.535 Å
α = 90.00°, β = 90.00°, γ = 90.00°
Space group Pm-3m (No. 221)
Symmetry-distinct sites (fractional):
Ta 0.000 0.000 0.500 [3 per cell]
Mn 0.000 0.000 0.000 [1 per cell]
Cr 0.500 0.500 0.500 [1 per cell]

Record 3
Entry from the Alexandria database: an optimized crystal structure of Ac2La8Tb (PBE).

Output
energy	-4.63	eV/atom
offset from the most stable computed form	0	meV per atom
formation energy	1.29	eV/f.u.

a = 17.024 Å, b = 7.054 Å, c = 7.087 Å
α = 90.00°, β = 101.25°, γ = 90.00°
Space group C2/m (No. 12)
Symmetry-distinct sites (fractional):
Ac 0.193 0.000 0.317 [4 per cell]
La 0.083 0.269 0.898 [8 per cell]
La 0.091 0.500 0.414 [4 per cell]
La 0.243 0.000 0.830 [4 per cell]
Tb 0.000 0.000 0.500 [2 per cell]

Record 4
Entry from the Alexandria database: an optimized crystal structure of Zr2VC (PBE).

Output
energy	-8.86	eV/atom
formation energy	0.01	eV/f.u.

a = 8.464 Å, b = 8.464 Å, c = 3.960 Å
α = 90.00°, β = 90.00°, γ = 90.00°
Space group I-42d (No. 122)
Symmetry-distinct sites (fractional):
Zr 0.101 0.250 0.125 [8 per cell]
V 0.000 0.000 0.500 [4 per cell]
C 0.000 0.000 0.000 [4 per cell]

Record 5
Entry from the Alexandria database: an optimized crystal structure of TlNiP2 (PBE).

Output
energy	-4.67	eV/atom
offset from the most stable computed form	191	meV per atom
formation energy	0.29	eV/f.u.

a = 5.594 Å, b = 5.594 Å, c = 11.050 Å
α = 90.00°, β = 90.00°, γ = 90.00°
Space group I-42d (No. 122)
Symmetry-distinct sites (fractional):
Tl 0.000 0.000 0.000 [4 per cell]
Ni 0.000 0.000 0.500 [4 per cell]
P 0.162 0.250 0.625 [8 per cell]

Record 6
Entry from the Alexandria database: an optimized crystal structure of Cr2ReSb (PBE).

Output
E_form (uncorrected)	0.405	eV per atom
energy	-8.55	eV/atom

a = 3.090 Å, b = 3.090 Å, c = 6.149 Å
α = 90.00°, β = 90.00°, γ = 90.00°
Space group P4mm (No. 99)
Symmetry-distinct sites (fractional):
Cr 0.000 0.000 0.000 [1 per cell]
Cr 0.500 0.500 0.205 [1 per cell]
Re 0.000 0.000 0.454 [1 per cell]
Sb 0.500 0.500 0.738 [1 per cell]

DOS(E_F): 17.816, 10.825, 18.825, 4.206, 2.351, 2.791 (states/eV/f.u.)